! Na2CoAuF6 GGA+U relaxed; values from VASP
! - M_tot: 0.0 μB per formula unit
! - Polymorph energy (0 for the lowest one): 0 meV/atom
! - SG: P1 (1)
! - Density: 4.622 g/cm3
&SYSTEM
  ibrav = 0, nat = 10, ntyp = 4
/
ATOMIC_SPECIES
Na 22.99 Na.upf
Co 58.93 Co.upf
Au 196.97 Au.upf
F 19.00 F.upf
ATOMIC_POSITIONS crystal
Na 0.0000 0.0000 0.0000
Na 0.4035 0.6730 0.4554
Co 0.7650 0.6296 0.7727
Au 0.1954 0.3743 0.2862
F 0.0936 0.4192 0.8076
F 0.4293 0.8190 0.7420
F 0.6054 0.3371 0.0699
F 0.7143 0.7862 0.0111
F 0.7989 0.4467 0.5472
F 0.9568 0.8736 0.4614
CELL_PARAMETERS angstrom
5.6701 0.0000 0.0000
2.1341 5.3762 0.0000
2.7270 1.7613 4.9012